Record 1
Below is an optimized crystal structure of ZrTeI2, with properties calculated at the PBEsol level.

The structure belongs to space group Fm-3m (No. 225); the cell edges are 7.459, 7.459 and 7.459 Å and the angles 90.00°, 90.00° and 90.00°. The distinct sites, in fractional coordinates, are Zr at (0.000, 0.000, 0.000), Te at (0.000, 0.000, 0.500) and I at (0.250, 0.250, 0.250).

The raw formation energy comes out at -0.031 eV per atom. The total energy comes out at -4.068 eV/atom. The value obtained for the magnetic moment is 0.00 μB/f.u.

***

Record 2
Below is an optimized crystal structure of ThI3, with properties calculated at the PBEsol level.

The structure belongs to space group Cccm (No. 66); the cell edges are 9.042, 19.882 and 14.615 Å and the angles 90.00°, 90.00° and 90.00°. The distinct sites, in fractional coordinates, are Th at (0.000, 0.000, 0.000), Th at (0.000, 0.000, 0.250), Th at (0.171, 0.172, 0.000), I at (0.018, 0.306, 0.500), I at (0.106, 0.125, 0.372), I at (0.222, 0.453, 0.130) and I at (0.250, 0.250, 0.182).

The raw formation energy comes out at -1.200 eV per atom. The total energy comes out at -4.552 eV/atom. The value obtained for the magnetic moment is 0.00 μB/f.u.

***

Record 3
Below is an optimized crystal structure of ThI4, with properties calculated at the PBEsol level.

The structure belongs to space group P2_1/c (No. 14); the cell edges are 7.887, 8.067 and 14.212 Å and the angles 90.00°, 114.16° and 90.00°. The distinct sites, in fractional coordinates, are Th at (0.005, 0.011, 0.183), I at (0.155, 0.143, 0.657), I at (0.213, 0.185, 0.406), I at (0.245, 0.588, 0.558) and I at (0.312, 0.747, 0.820).

The raw formation energy comes out at -1.207 eV per atom. The total energy comes out at -4.242 eV/atom. The value obtained for the magnetic moment is 0.00 μB/f.u.

***

Record 4
Below is an optimized crystal structure of Ti3TlI, with properties calculated at the PBEsol level.

The structure belongs to space group Pm-3m (No. 221); the cell edges are 4.934, 4.934 and 4.934 Å and the angles 90.00°, 90.00° and 90.00°. The distinct sites, in fractional coordinates, are Ti at (0.000, 0.000, 0.500), Tl at (0.500, 0.500, 0.500) and I at (0.000, 0.000, 0.000).

The raw formation energy comes out at 0.880 eV per atom. The total energy comes out at -4.993 eV/atom. The value obtained for the magnetic moment is 3.37 μB/f.u.

***

Record 5
Below is an optimized crystal structure of YTiI3, with properties calculated at the PBEsol level.

The structure belongs to space group Pm-3m (No. 221); the cell edges are 5.445, 5.445 and 5.445 Å and the angles 90.00°, 90.00° and 90.00°. The distinct sites, in fractional coordinates, are Y at (0.000, 0.000, 0.000), Ti at (0.500, 0.500, 0.500) and I at (0.000, 0.500, 0.500).

The raw formation energy comes out at -0.160 eV per atom. The total energy comes out at -4.249 eV/atom. The value obtained for the magnetic moment is 3.55 μB/f.u.

***

Record 6
Below is an optimized crystal structure of TlZn2I, with properties calculated at the PBEsol level.

The structure belongs to space group Fm-3m (No. 225); the cell edges are 7.475, 7.475 and 7.475 Å and the angles 90.00°, 90.00° and 90.00°. The distinct sites, in fractional coordinates, are Tl at (0.000, 0.000, 0.000), Zn at (0.250, 0.250, 0.250) and I at (0.000, 0.000, 0.500).

The raw formation energy comes out at 0.285 eV per atom. The total energy comes out at -1.605 eV/atom. The value obtained for the magnetic moment is 0.00 μB/f.u.

***

Record 7
Below is an optimized crystal structure of WI2, with properties calculated at the PBEsol level.

The structure belongs to space group Cmce (No. 64); the cell edges are 16.109, 12.531 and 12.534 Å and the angles 90.00°, 90.00° and 90.00°. The distinct sites, in fractional coordinates, are W at (0.000, 0.067, 0.134), W at (0.000, 0.134, 0.933), W at (0.117, 0.000, 0.000), I at (0.000, 0.153, 0.346), I at (0.122, 0.070, 0.789), I at (0.122, 0.212, 0.070) and I at (0.209, 0.000, 0.500).

The raw formation energy comes out at -0.189 eV per atom. The total energy comes out at -5.969 eV/atom. The value obtained for the magnetic moment is 0.00 μB/f.u.

***

Record 8
Below is an optimized crystal structure of ZnWI2, with properties calculated at the PBEsol level.

The structure belongs to space group Fm-3m (No. 225); the cell edges are 6.852, 6.852 and 6.852 Å and the angles 90.00°, 90.00° and 90.00°. The distinct sites, in fractional coordinates, are Zn at (0.000, 0.000, 0.000), W at (0.000, 0.000, 0.500) and I at (0.250, 0.250, 0.250).

The raw formation energy comes out at 1.008 eV per atom. The total energy comes out at -3.723 eV/atom. The value obtained for the magnetic moment is 0.00 μB/f.u.

***

Record 9
Below is an optimized crystal structure of Zn2WI2, with properties calculated at the PBEsol level.

The structure belongs to space group I4/mmm (No. 139); the cell edges are 5.639, 5.639 and 7.613 Å and the angles 90.00°, 90.00° and 90.00°. The distinct sites, in fractional coordinates, are Zn at (0.000, 0.000, 0.154), W at (0.000, 0.000, 0.500) and I at (0.000, 0.500, 0.250).

The raw formation energy comes out at 1.134 eV per atom. The total energy comes out at -2.967 eV/atom. The value obtained for the magnetic moment is 3.68 μB/f.u.

***

Record 10
Below is an optimized crystal structure of Zn3WI, with properties calculated at the PBEsol level.

The structure belongs to space group Pm-3m (No. 221); the cell edges are 5.143, 5.143 and 5.143 Å and the angles 90.00°, 90.00° and 90.00°. The distinct sites, in fractional coordinates, are Zn at (0.000, 0.000, 0.500), W at (0.500, 0.500, 0.500) and I at (0.000, 0.000, 0.000).

The raw formation energy comes out at 2.122 eV per atom. The total energy comes out at -1.942 eV/atom. The value obtained for the magnetic moment is 4.51 μB/f.u.

***

Record 11
Below is an optimized crystal structure of Zr3WI, with properties calculated at the PBEsol level.

The structure belongs to space group Pm-3m (No. 221); the cell edges are 5.094, 5.094 and 5.094 Å and the angles 90.00°, 90.00° and 90.00°. The distinct sites, in fractional coordinates, are Zr at (0.000, 0.000, 0.500), W at (0.000, 0.000, 0.000) and I at (0.500, 0.500, 0.500).

The raw formation energy comes out at 0.790 eV per atom. The total energy comes out at -7.779 eV/atom. The value obtained for the magnetic moment is 0.00 μB/f.u.

***

Record 12
Below is an optimized crystal structure of ZrWI2, with properties calculated at the PBEsol level.

The structure belongs to space group Fm-3m (No. 225); the cell edges are 6.862, 6.862 and 6.862 Å and the angles 90.00°, 90.00° and 90.00°. The distinct sites, in fractional coordinates, are Zr at (0.000, 0.000, 0.000), W at (0.000, 0.000, 0.500) and I at (0.250, 0.250, 0.250).

The raw formation energy comes out at 0.726 eV per atom. The total energy comes out at -5.882 eV/atom. The value obtained for the magnetic moment is 0.00 μB/f.u.

***

Record 13
Below is an optimized crystal structure of YZn3I, with properties calculated at the PBEsol level.

The structure belongs to space group Pm-3m (No. 221); the cell edges are 5.175, 5.175 and 5.175 Å and the angles 90.00°, 90.00° and 90.00°. The distinct sites, in fractional coordinates, are Y at (0.000, 0.000, 0.000), Zn at (0.000, 0.500, 0.500) and I at (0.500, 0.500, 0.500).

The raw formation energy comes out at 0.833 eV per atom. The total energy comes out at -1.834 eV/atom. The value obtained for the magnetic moment is 0.00 μB/f.u.

***

Record 14
Below is an optimized crystal structure of YZr3I, with properties calculated at the PBEsol level.

The structure belongs to space group Pm-3m (No. 221); the cell edges are 5.195, 5.195 and 5.195 Å and the angles 90.00°, 90.00° and 90.00°. The distinct sites, in fractional coordinates, are Y at (0.000, 0.000, 0.000), Zr at (0.000, 0.000, 0.500) and I at (0.500, 0.500, 0.500).

The raw formation energy comes out at 1.355 eV per atom. The total energy comes out at -5.816 eV/atom. The value obtained for the magnetic moment is 0.00 μB/f.u.

***

Record 15
Below is an optimized crystal structure of Zr3ZnI, with properties calculated at the PBEsol level.

The structure belongs to space group Pm-3m (No. 221); the cell edges are 5.156, 5.156 and 5.156 Å and the angles 90.00°, 90.00° and 90.00°. The distinct sites, in fractional coordinates, are Zr at (0.000, 0.000, 0.500), Zn at (0.500, 0.500, 0.500) and I at (0.000, 0.000, 0.000).

The raw formation energy comes out at 0.997 eV per atom. The total energy comes out at -5.126 eV/atom. The value obtained for the magnetic moment is 0.00 μB/f.u.

***

Record 16
Below is an optimized crystal structure of ZrI4, with properties calculated at the PBEsol level.

The structure belongs to space group P2/c (No. 13); the cell edges are 8.351, 8.316 and 17.820 Å and the angles 90.00°, 103.27° and 90.00°. The distinct sites, in fractional coordinates, are Zr at (0.000, 0.104, 0.250), Zr at (0.196, 0.378, 0.083), I at (0.071, 0.377, 0.920), I at (0.080, 0.149, 0.414), I at (0.233, 0.378, 0.247), I at (0.250, 0.106, 0.756), I at (0.399, 0.128, 0.077) and I at (0.413, 0.378, 0.590).

The raw formation energy comes out at -0.886 eV per atom. The total energy comes out at -4.117 eV/atom. The value obtained for the magnetic moment is 0.00 μB/f.u.

***

Record 17
Below is an optimized crystal structure of ZrI4, with properties calculated at the PBEsol level.

The structure belongs to space group P2/c (No. 13); the cell edges are 7.209, 8.404 and 7.002 Å and the angles 90.00°, 108.64° and 90.00°. The distinct sites, in fractional coordinates, are Zr at (0.000, 0.157, 0.250), I at (0.235, 0.113, 0.993) and I at (0.258, 0.366, 0.486).

The raw formation energy comes out at -0.884 eV per atom. The total energy comes out at -4.116 eV/atom. The value obtained for the magnetic moment is 0.00 μB/f.u.

***

Record 18
Below is an optimized crystal structure of K2In2Ir, with properties calculated at the PBEsol level.

The structure belongs to space group I4/mmm (No. 139); the cell edges are 3.808, 3.808 and 16.433 Å and the angles 90.00°, 90.00° and 90.00°. The distinct sites, in fractional coordinates, are K at (0.000, 0.500, 0.250), In at (0.000, 0.000, 0.083) and Ir at (0.000, 0.000, 0.500).

The formation energy is 768 meV/atom. The total energy comes out at -2.843 eV/atom. The value obtained for the magnetic moment is 0.00 μB/f.u.

***

Record 19
Below is an optimized crystal structure of KIn2Ir, with properties calculated at the PBEsol level.

The structure belongs to space group Pm (No. 6); the cell edges are 3.062, 4.378 and 8.082 Å and the angles 90.00°, 90.04° and 90.00°. The distinct sites, in fractional coordinates, are K at (0.000, 0.000, 0.000), In at (0.501, 0.500, 0.313), In at (0.502, 0.000, 0.611) and Ir at (0.002, 0.500, 0.596).

The value obtained for the distance to the lowest polymorph of the same formula is 0 meV/atom. The formation energy is 69 meV/atom. The total energy comes out at -4.161 eV/atom. The value obtained for the magnetic moment is 0.00 μB/f.u.

***

Record 20
Below is an optimized crystal structure of K2InIr, with properties calculated at the PBEsol level.

The structure belongs to space group C2/m (No. 12); the cell edges are 5.548, 10.809 and 3.219 Å and the angles 90.00°, 90.39° and 90.00°. The distinct sites, in fractional coordinates, are K at (0.250, 0.250, 0.000), In at (0.000, 0.000, 0.500) and Ir at (0.000, 0.500, 0.500).

The formation energy is 641 meV/atom. The total energy comes out at -3.127 eV/atom. The value obtained for the magnetic moment is 0.01 μB/f.u.